## SmZnCo2 (PBE-GGA)

Data for crystalline SmZnCo2 at its relaxed geometry. Values from VASP.

Summary:
- energy relative to the elements (eV/atom) = 0.08
- crystal system = orthorhombic

The structure in Quantum ESPRESSO input format:
```
&SYSTEM
  ibrav = 0, nat = 16, ntyp = 3
/
ATOMIC_SPECIES
Zn 65.41 Zn.upf
Co 58.93 Co.upf
Sm 150.36 Sm.upf
ATOMIC_POSITIONS crystal
Zn 0.000 0.750 0.696
Co 0.500 0.000 0.500
Zn 0.000 0.250 0.304
Zn 0.500 0.750 0.679
Zn 0.500 0.250 0.321
Sm 0.500 0.750 0.117
Co 0.500 0.500 0.500
Co 0.000 0.000 0.000
Co 0.260 0.250 0.126
Co 0.740 0.750 0.874
Sm 0.500 0.250 0.883
Sm 0.000 0.750 0.406
Co 0.260 0.750 0.874
Sm 0.000 0.250 0.594
Co 0.000 0.500 0.000
Co 0.740 0.250 0.126
CELL_PARAMETERS angstrom
4.742 0.000 0.000
0.000 5.352 0.000
0.000 0.000 11.693
```


## TbNd2Ni2 (PBE-GGA)

Data for crystalline TbNd2Ni2 at its relaxed geometry. Values from VASP.

Summary:
- energy relative to the elements (eV/atom) = -0.27
- relative energy among the computed polymorphs (meV/atom) = 0
- crystal system = monoclinic

The structure in Quantum ESPRESSO input format:
```
&SYSTEM
  ibrav = 0, nat = 10, ntyp = 3
/
ATOMIC_SPECIES
Nd 144.24 Nd.upf
Ni 58.69 Ni.upf
Tb 158.93 Tb.upf
ATOMIC_POSITIONS crystal
Nd 0.661 0.747 0.931
Nd 0.339 0.253 0.069
Ni 0.995 0.123 0.886
Ni 0.005 0.877 0.114
Tb 0.206 0.947 0.641
Nd 0.544 0.603 0.308
Nd 0.456 0.397 0.692
Tb 0.794 0.053 0.359
Ni 0.114 0.319 0.453
Ni 0.886 0.681 0.547
CELL_PARAMETERS angstrom
-3.504 1.421 0.560
-3.218 -0.502 -5.823
-5.192 -8.421 1.927
```


## NaTiS2N (PBE-GGA)

Data for crystalline NaTiS2N at its relaxed geometry. Values from VASP.

Summary:
- relative energy among the computed polymorphs (meV/atom) = 1620
- crystal system = tetragonal
- raw formation energy (meV/atom) = 1124

The structure in Quantum ESPRESSO input format:
```
&SYSTEM
  ibrav = 0, nat = 5, ntyp = 4
/
ATOMIC_SPECIES
Na 22.99 Na.upf
Ti 47.87 Ti.upf
S 32.06 S.upf
N 14.01 N.upf
ATOMIC_POSITIONS crystal
Na 0.000 0.000 0.000
Ti 0.500 0.500 0.500
S 0.500 0.000 0.000
S 0.000 0.500 0.000
N 0.000 0.000 0.500
CELL_PARAMETERS angstrom
-1.355 4.257 1.485
-1.462 -1.881 4.061
3.558 0.590 1.555
```